# YErMg2 (PBE, relaxed)
data_YErMg2
_cell_length_a 5.451
_cell_length_b 6.940
_cell_length_c 11.637
_cell_angle_alpha 90.00
_cell_angle_beta 90.00
_cell_angle_gamma 90.00
_space_group_name_H-M_alt 'A m m 2'
_space_group_IT_number 38
loop_
_space_group_symop_operation_xyz
'x,y,z'
'-x,-y,z'
'-x,y,z'
'x,-y,z'
'x,y+1/2,z+1/2'
'-x,-y+1/2,z+1/2'
'-x,y+1/2,z+1/2'
'x,-y+1/2,z+1/2'
loop_
_atom_site_label
_atom_site_fract_x
_atom_site_fract_y
_atom_site_fract_z
Y1 0.000 0.247 0.000
Er1 0.000 0.000 0.749
Er2 0.500 0.000 0.413
Mg1 0.000 0.000 0.252
Mg2 0.500 0.000 0.918
Mg3 0.500 0.246 0.165
# calculated density: 4.6 g/cm3
# volume: 440.2 Å³ per cell
# magnetic moment: 0.06 μB per formula unit
# ΔE to the lowest computed polymorph: 0.1024 eV per atom